1.
DFT (PBE) results for a geometry-optimized Pr3Nd2Cd6 structure.

Uncorrected energy: -2.694 eV/atom

a = 4.148 Å, b = 4.148 Å, c = 20.096 Å
α = 95.92°, β = 95.92°, γ = 90.00°
Atoms (fractional coordinates):
Pr 0.000 0.000 0.000
Pr 0.811 0.811 0.623
Pr 0.189 0.189 0.377
Nd 0.368 0.368 0.735
Nd 0.632 0.632 0.265
Cd 0.066 0.566 0.131
Cd 0.566 0.066 0.131
Cd 0.934 0.434 0.869
Cd 0.434 0.934 0.869
Cd 0.728 0.728 0.456
Cd 0.272 0.272 0.544



2.
DFT (PBE) results for a geometry-optimized PrNd2Cd6 structure.

Uncorrected energy: -2.547 eV/atom

a = 3.473 Å, b = 8.827 Å, c = 8.827 Å
α = 120.00°, β = 90.00°, γ = 90.00°
Atoms (fractional coordinates):
Pr 0.000 0.000 0.000
Nd 0.000 0.333 0.667
Nd 0.000 0.667 0.333
Cd 0.500 0.334 0.334
Cd 0.500 0.666 0.666
Cd 0.500 0.000 0.666
Cd 0.500 0.666 0.000
Cd 0.500 0.334 0.000
Cd 0.500 0.000 0.334



3.
DFT (PBE) results for a geometry-optimized Pr3NdCd2 structure.

Uncorrected energy: -3.694 eV/atom

a = 3.812 Å, b = 3.812 Å, c = 13.029 Å
α = 90.00°, β = 90.00°, γ = 90.00°
Atoms (fractional coordinates):
Pr 0.000 0.000 0.000
Pr 0.000 0.000 0.695
Pr 0.000 0.000 0.305
Nd 0.500 0.500 0.500
Cd 0.500 0.500 0.846
Cd 0.500 0.500 0.154



4.
DFT (PBE) results for a geometry-optimized Pr12Nd5Cd2 structure.

Uncorrected energy: -4.344 eV/atom

a = 9.420 Å, b = 9.255 Å, c = 8.767 Å
α = 93.20°, β = 90.00°, γ = 120.59°
Atoms (fractional coordinates):
Pr 0.923 0.846 0.118
Pr 0.040 0.711 0.764
Pr 0.671 0.711 0.764
Pr 0.178 0.746 0.320
Pr 0.567 0.746 0.320
Pr 0.443 0.886 0.669
Pr 0.557 0.114 0.331
Pr 0.822 0.254 0.680
Pr 0.433 0.254 0.680
Pr 0.960 0.289 0.236
Pr 0.329 0.289 0.236
Pr 0.077 0.154 0.882
Nd 0.232 0.465 0.573
Nd 0.301 0.602 0.977
Nd 0.000 0.000 0.500
Nd 0.699 0.398 0.023
Nd 0.768 0.535 0.427
Cd 0.668 0.000 0.000
Cd 0.332 0.000 0.000



5.
DFT (PBE) results for a geometry-optimized Pr2Nd2Cd structure.

Energy above the lowest structure with this stoichiometry: 0.0 meV/atom

a = 3.751 Å, b = 3.751 Å, c = 12.092 Å
α = 98.92°, β = 98.92°, γ = 90.00°
Atoms (fractional coordinates):
Pr 0.588 0.588 0.176
Pr 0.412 0.412 0.824
Nd 0.804 0.804 0.608
Nd 0.196 0.196 0.392
Cd 0.000 0.000 0.000



6.
DFT (PBE) results for a geometry-optimized Pr3Nd7Cd structure.

Uncorrected energy: -4.292 eV/atom

a = 8.831 Å, b = 7.174 Å, c = 7.174 Å
α = 120.00°, β = 90.00°, γ = 90.00°
Atoms (fractional coordinates):
Pr 0.782 0.501 0.499
Pr 0.782 0.501 0.001
Pr 0.782 0.999 0.499
Nd 0.123 0.168 0.832
Nd 0.123 0.168 0.336
Nd 0.114 0.667 0.333
Nd 0.447 0.831 0.169
Nd 0.447 0.338 0.169
Nd 0.447 0.831 0.662
Nd 0.123 0.664 0.832
Cd 0.446 0.333 0.667



Number 1: Fermi-level density of states 0.73 states/eV/atom. Number 2: Fermi-level density of states 0.88 states/eV/atom. Number 3: Fermi-level density of states 1.15 states/eV/atom. Number 4: Fermi-level density of states 1.40 states/eV/atom. Number 5: Fermi-level density of states 1.32 states/eV/atom. Number 6: Fermi-level density of states 1.43 states/eV/atom.